# CsYTlSe3

A relaxed structure of CsYTlSe3 (GGA-PBE, Alexandria via LeMat-Bulk).

It has space group P2_1/m (No. 11), with a = 9.3511 Å, b = 4.2173 Å, c = 11.5053 Å, α = 90.00°, β = 109.44° and γ = 90.00°. The inequivalent atoms are Cs at (0.2257, 0.2500, 0.2647), Y at (0.3568, 0.7500, 0.8574), Tl at (0.1314, 0.2500, 0.5803), Se at (0.1285, 0.2500, 0.8192), Se at (0.3355, 0.7500, 0.5942) and Se at (0.4253, 0.7500, 0.1161).

The density of states at the Fermi level is 0.478 states/eV per atom. The value obtained for the spin magnetization is 0.00 Bohr magnetons per cell. Its raw total energy is -4.55 eV/atom. The uncorrected formation energy comes out at -1.20 eV/atom.